Entry 1:
Ti12Al5Zn2: optimized geometry, PBE.

Values from the calculation:
The calculated formation energy is -112 meV/atom. For the density of states at the Fermi level, the calculation gives 19.29 states/eV/f.u. As for the magnetization: 0.00 μB/f.u. For the uncorrected energy, the calculation gives -6.22 eV per atom.

Lattice parameters (Å, degrees): 11.8741 7.5803 7.1260 90.00 90.18 90.00
Closest atoms and distances in Å follow each position.
Space group C2/m (No. 12)
Symmetry-distinct sites (fractional):
1 Ti 0.0658 0.0000 0.1775 (multiplicity 4)  2 Al 2.61-2.78, 6 Ti 2.62-2.74, 2 Zn 2.78
2 Ti 0.0770 0.5000 0.6330 (multiplicity 4)  3 Ti 2.63-2.93, 3 Al 2.75-2.91, 2 Zn 2.78
3 Ti 0.1199 0.1842 0.8596 (multiplicity 8)  5 Ti 2.62-2.93, 2 Al 2.75, 1 Zn 2.93
4 Ti 0.1496 0.3212 0.2771 (multiplicity 8)  1 Zn 2.62, 3 Ti 2.71-2.91, 1 Al 2.78
5 Al 0.0000 0.5000 0.0000 (multiplicity 2)  2 Al 2.71, 10 Ti 2.77-2.98
6 Al 0.1929 0.0000 0.5056 (multiplicity 4)  2 Zn 2.66, 6 Ti 2.78-2.97
7 Al 0.2245 0.5000 0.9318 (multiplicity 4)  6 Ti 2.61-2.75, 1 Al 2.71
8 Zn 0.0000 0.1774 0.5000 (multiplicity 4)  8 Ti 2.62-2.93, 2 Al 2.66, 1 Zn 2.69

Entry 2:
LiMoPt2: optimized geometry, PBE.

Values from the calculation:
The calculated formation energy is 210 meV/atom. For the density of states at the Fermi level, the calculation gives 3.55 states/eV/f.u. As for the magnetization: 1.02 μB/f.u. For the uncorrected energy, the calculation gives -6.00 eV per atom.

Lattice parameters (Å, degrees): 6.8935 6.8935 5.4402 90.00 90.00 90.00
Closest atoms and distances in Å follow each position.
Space group I-42d (No. 122)
Symmetry-distinct sites (fractional):
1 Li 0.0000 0.0000 0.0000 (multiplicity 4)  4 Pt 2.51, 2 Mo 2.72
2 Mo 0.0000 0.0000 0.5000 (multiplicity 4)  4 Pt 2.55, 2 Li 2.72
3 Pt 0.2467 0.7500 0.1250 (multiplicity 8)  2 Li 2.51, 2 Mo 2.55, 2 Pt 2.72

Entry 3:
PmAl2SiIr: optimized geometry, PBE.

Values from the calculation:
For the density of states at the Fermi level, the calculation gives 1.83 states/eV/f.u. As for the magnetization: 0.00 μB/f.u. For the uncorrected energy, the calculation gives -6.06 eV per atom.

Lattice parameters (Å, degrees): 3.9606 4.0718 11.1449 90.00 90.00 90.00
Closest atoms and distances in Å follow each position.
Space group Imm2 (No. 44)
Symmetry-distinct sites (fractional):
1 Pm 0.0000 0.0000 0.0000 (multiplicity 2)  4 Si 3.08, 6 Al 3.13-3.39, 2 Ir 3.31
2 Al 0.0000 0.0000 0.3819 (multiplicity 2)  1 Si 2.50, 2 Ir 2.55, 2 Al 2.55
3 Al 0.0000 0.5000 0.2437 (multiplicity 2)  2 Si 2.50, 2 Al 2.55
4 Si 0.0000 0.0000 0.6063 (multiplicity 2)  3 Al 2.50, 2 Ir 2.51
5 Ir 0.0000 0.5000 0.7378 (multiplicity 2)  2 Si 2.51, 2 Al 2.55

Entry 4:
YZn2Tc: optimized geometry, PBE.

Values from the calculation:
The calculated formation energy is 54 meV/atom. For the density of states at the Fermi level, the calculation gives 4.17 states/eV/f.u. As for the magnetization: 0.00 μB/f.u. For the uncorrected energy, the calculation gives -4.79 eV per atom.

Lattice parameters (Å, degrees): 3.5924 4.5592 8.7073 90.00 90.00 90.00
Closest atoms and distances in Å follow each position.
Space group Imm2 (No. 44)
Symmetry-distinct sites (fractional):
1 Y 0.0000 0.0000 0.0000 (multiplicity 2)  8 Zn 2.90-3.03, 4 Tc 2.94-3.05
2 Zn 0.0000 0.0000 0.4954 (multiplicity 2)  2 Zn 2.66, 2 Tc 2.74, 4 Y 2.90
3 Zn 0.0000 0.5000 0.7699 (multiplicity 2)  2 Zn 2.66, 4 Tc 2.92, 2 Y 2.96
4 Tc 0.0000 0.5000 0.2326 (multiplicity 2)  6 Zn 2.74-2.92, 4 Y 2.94-3.05

Which formula does entry 4 have? YZn2Tc